UPa2CrS8: optimized geometry, PBE-GGA.

Summary:
E_form (uncorrected) = -1.2371 eV per atom
Electronic total energy = -7.31 eV/atom

Lattice parameters (Å, degrees): 6.0946 6.2305 7.9450 89.86 89.92 88.19
Space group P-1 (No. 2)
Unique sites:
U  0.0000  0.0000  0.0000 [1 per cell]
Pa  0.4944  0.4951  0.7412 [2 per cell]
Cr  0.0000  0.0000  0.5000 [1 per cell]
S  0.2070  0.8296  0.2692 [2 per cell]
S  0.2080  0.8305  0.7310 [2 per cell]
S  0.2816  0.3164  0.4955 [2 per cell]
S  0.2837  0.3320  0.0054 [2 per cell]

---

PaVCrS6: optimized geometry, PBE-GGA.

Summary:
E_form (uncorrected) = -0.9079 eV per atom
Electronic total energy = -6.80 eV/atom

Lattice parameters (Å, degrees): 6.0714 6.0714 5.8643 90.00 90.00 120.00
Space group P312 (No. 149)
Unique sites:
Pa  0.0000  0.0000  0.0000 [1 per cell]
V  0.3333  0.6667  0.5000 [1 per cell]
Cr  0.6667  0.3333  0.5000 [1 per cell]
S  0.0002  0.3520  0.7282 [6 per cell]

---

YPaCrS6: optimized geometry, PBE-GGA.

Summary:
E_form (uncorrected) = -1.1782 eV per atom
Electronic total energy = -6.77 eV/atom

Lattice parameters (Å, degrees): 6.4259 6.4259 5.8011 90.00 90.00 120.00
Space group P312 (No. 149)
Unique sites:
Y  0.0000  0.0000  0.0000 [1 per cell]
Pa  0.6667  0.3333  0.5000 [1 per cell]
Cr  0.3333  0.6667  0.0000 [1 per cell]
S  0.0260  0.3726  0.2431 [6 per cell]

---

PaCrSb2: optimized geometry, PBE-GGA.

Summary:
E_form (uncorrected) = 0.2986 eV per atom
Electronic total energy = -6.54 eV/atom

Lattice parameters (Å, degrees): 3.2968 3.2968 32.2103 90.00 90.00 120.00
Space group R-3m (No. 166, hexagonal axes)
Unique sites:
Pa  0.0000  0.0000  0.0000 [3 per cell]
Cr  0.0000  0.0000  0.5000 [3 per cell]
Sb  0.0000  0.0000  0.4154 [6 per cell]

---

ScPaCr: optimized geometry, PBE-GGA.

Summary:
Formation enthalpy at 0 K = 191 meV per atom
Polymorph energy (0 for the lowest one) = 0 meV per atom
Electronic total energy = -8.29 eV/atom

Lattice parameters (Å, degrees): 3.3021 3.3021 10.7064 90.00 90.00 90.00
Space group I4mm (No. 107)
Unique sites:
Sc  0.0000  0.0000  0.0000 [2 per cell]
Pa  0.0000  0.0000  0.2987 [2 per cell]
Cr  0.0000  0.0000  0.6756 [2 per cell]

---

ScPaCr: optimized geometry, PBE-GGA.

Summary:
Formation enthalpy at 0 K = 384 meV per atom
Polymorph energy (0 for the lowest one) = 193 meV per atom
Electronic total energy = -8.10 eV/atom

Lattice parameters (Å, degrees): 3.4156 3.4156 22.7965 90.00 90.00 90.00
Space group I4/mmm (No. 139)
Unique sites:
Sc  0.0000  0.0000  0.0719 [4 per cell]
Pa  0.0000  0.0000  0.3333 [4 per cell]
Cr  0.0000  0.0000  0.2273 [4 per cell]

---

ScPaCrSe6: optimized geometry, PBE-GGA.

Summary:
E_form (uncorrected) = -0.9652 eV per atom
Electronic total energy = -6.12 eV/atom

Lattice parameters (Å, degrees): 6.6333 6.6333 6.0238 90.00 90.00 120.00
Space group P312 (No. 149)
Unique sites:
Sc  0.0000  0.0000  0.0000 [1 per cell]
Pa  0.6667  0.3333  0.5000 [1 per cell]
Cr  0.3333  0.6667  0.0000 [1 per cell]
Se  0.0248  0.3528  0.2421 [6 per cell]

---

ScPaCrTc: optimized geometry, PBE-GGA.

Summary:
Formation enthalpy at 0 K = -61 meV per atom
Electronic total energy = -9.01 eV/atom

Lattice parameters (Å, degrees): 6.6369 6.6369 6.6369 90.00 90.00 90.00
Space group F-43m (No. 216)
Unique sites:
Sc  0.0000  0.0000  0.0000 [4 per cell]
Pa  0.0000  0.0000  0.5000 [4 per cell]
Cr  0.2500  0.2500  0.2500 [4 per cell]
Tc  0.2500  0.2500  0.7500 [4 per cell]

---

ScPaTiCr: optimized geometry, PBE-GGA.

Summary:
Formation enthalpy at 0 K = 180 meV per atom
Electronic total energy = -8.16 eV/atom

Lattice parameters (Å, degrees): 6.6825 6.6825 6.6825 90.00 90.00 90.00
Space group F-43m (No. 216)
Unique sites:
Sc  0.0000  0.0000  0.0000 [4 per cell]
Pa  0.0000  0.0000  0.5000 [4 per cell]
Ti  0.2500  0.2500  0.7500 [4 per cell]
Cr  0.2500  0.2500  0.2500 [4 per cell]

---

Pa6CrSe12: optimized geometry, PBE-GGA.

Summary:
E_form (uncorrected) = -1.1905 eV per atom
Electronic total energy = -6.90 eV/atom

Lattice parameters (Å, degrees): 12.5478 12.5478 11.3042 90.00 90.00 120.00
Space group R-3 (No. 148, hexagonal axes)
Unique sites:
Pa  0.0545  0.7763  0.1466 [18 per cell]
Cr  0.0000  0.0000  0.5000 [3 per cell]
Se  0.0355  0.8234  0.8894 [18 per cell]
Se  0.0507  0.8514  0.3862 [18 per cell]

---

PaCrSe2: optimized geometry, PBE-GGA.

Summary:
E_form (uncorrected) = -0.4339 eV per atom
Electronic total energy = -6.96 eV/atom

Lattice parameters (Å, degrees): 3.9953 3.9953 25.5735 90.00 90.00 120.00
Space group R-3m (No. 166, hexagonal axes)
Unique sites:
Pa  0.0000  0.0000  0.0000 [3 per cell]
Cr  0.0000  0.0000  0.5000 [3 per cell]
Se  0.0000  0.0000  0.4022 [6 per cell]

---

Pa3Cr5Se12: optimized geometry, PBE-GGA.

Summary:
E_form (uncorrected) = -0.7973 eV per atom
Electronic total energy = -6.72 eV/atom

Lattice parameters (Å, degrees): 15.6800 15.6800 15.6800 90.00 90.00 90.00
Space group Ia-3d (No. 230)
Unique sites:
Pa  0.0000  0.2500  0.1250 [24 per cell]
Cr  0.0000  0.0000  0.0000 [16 per cell]
Cr  0.0000  0.2500  0.3750 [24 per cell]
Se  0.0252  0.0632  0.6493 [96 per cell]